# 1
Here is CaSbAs2 after structural relaxation from Alexandria via LeMat-Bulk. Energies are from GGA-PBE.

Cell: 5.6233 5.6233 4.2675 Å, 90.00 90.00 126.24°
With the nearest neighbours (Å) after each atom.
Sites, in units of the cell vectors:
Ca 0.0000 0.0000 0.0000  6 As 2.96-3.27
Sb 0.5000 0.5000 0.5000  4 As 2.96
As 0.2952 0.7048 0.0000  2 As 2.70, 1 Ca 2.96, 2 Sb 2.96
As 0.7048 0.2952 0.0000  2 As 2.70, 1 Ca 2.96, 2 Sb 2.96

crystal system: orthorhombic
M_tot: 0.0 μB/f.u.
formation energy (no corrections): -373 meV/atom
E: -16.916 eV per cell

# 2
Here is In3GaBi after structural relaxation from Alexandria via LeMat-Bulk. Energies are from GGA-PBE.

Cell: 5.3368 5.3368 5.3368 Å, 90.00 90.00 90.00°
With the nearest neighbours (Å) after each atom.
Sites, in units of the cell vectors:
In 0.0000 0.0000 0.5000  2 Ga 2.67
In 0.0000 0.5000 0.0000  2 Ga 2.67
In 0.5000 0.0000 0.0000  2 Ga 2.67
Ga 0.0000 0.0000 0.0000  6 In 2.67
Bi 0.5000 0.5000 0.5000  12 In 3.77

crystal system: cubic
M_tot: 0.0 μB/f.u.
E: -14.003 eV per cell
E_form: 224 meV per atom

# 3
Here is LiDy2Hg4 after structural relaxation from Alexandria via LeMat-Bulk. Energies are from GGA-PBE.

Cell: 8.9571 8.9571 8.9571 Å, 31.77 31.77 31.77°
With the nearest neighbours (Å) after each atom.
Sites, in units of the cell vectors:
Li 0.0000 0.0000 0.0000  8 Hg 2.98-3.28
Dy 0.2498 0.2498 0.2498  8 Hg 3.06-3.09
Dy 0.7502 0.7502 0.7502  8 Hg 3.06-3.09
Hg 0.1286 0.1286 0.1286  4 Dy 3.06-3.09, 1 Li 3.28
Hg 0.3702 0.3702 0.3702  3 Li 2.98, 4 Dy 3.07
Hg 0.6298 0.6298 0.6298  3 Li 2.98, 4 Dy 3.07
Hg 0.8714 0.8714 0.8714  4 Dy 3.06-3.09, 1 Li 3.28

crystal system: trigonal
M_tot: 0.0 μB/f.u.
E: -14.513 eV per cell
E_form: -313 meV per atom

# 4
Here is MgZr2InIr after structural relaxation from Alexandria via LeMat-Bulk. Energies are from GGA-PBE.

Cell: 5.2543 5.2543 4.8851 Å, 90.00 90.00 90.00°
With the nearest neighbours (Å) after each atom.
Sites, in units of the cell vectors:
Mg 0.0000 0.0000 0.0000  8 Zr 3.59, 4 Ir 3.72
Zr 0.0000 0.5000 0.5000  2 In 2.63
Zr 0.5000 0.0000 0.5000  2 In 2.63
In 0.5000 0.5000 0.5000  2 Ir 2.44, 4 Zr 2.63
Ir 0.5000 0.5000 0.0000  2 In 2.44

crystal system: tetragonal
M_tot: 0.0 μB/f.u.
E: -25.107 eV per cell
E_form: 1037 meV per atom

Question: Which of these has the highest E?
Answer: In3GaBi